Version A
SrLa3Pt | PBE | optimized geometry

Results
The density is 6.26 g/cm³. The total magnetization comes out at 0.00 μB/cell.

Unit cell a=6.486 b=7.459 c=7.719 alpha=90.30 beta=96.09 gamma=90.02
Atoms (fractional coordinates):
La 0.483 0.206 0.824
La 0.937 0.957 0.659
La 0.936 0.453 0.659
La 0.842 0.460 0.141
La 0.841 0.956 0.141
La 0.295 0.707 0.976
Sr 0.360 0.206 0.305
Sr 0.418 0.707 0.495
Pt 0.066 0.207 0.941
Pt 0.711 0.706 0.858


Version B
SrLa3Pt | PBE | optimized geometry

Results
The density is 5.95 g/cm³. The total magnetization comes out at 0.00 μB/cell.

Unit cell a=7.791 b=12.389 c=4.199 alpha=90.00 beta=74.37 gamma=90.00
Atoms (fractional coordinates):
Pt 0.783 0.750 0.108
Pt 0.217 0.250 0.892
La 0.284 0.480 0.859
La 0.284 0.020 0.859
La 0.716 0.980 0.141
La 0.477 0.250 0.262
La 0.716 0.520 0.141
La 0.523 0.750 0.738
Sr 0.071 0.750 0.465
Sr 0.929 0.250 0.535


Decreasing stability: version A, version B


Version A
SrLa3Pt | PBE | optimized geometry

Results
The density is 5.72 g/cm³. The total magnetization comes out at 0.00 μB/cell.

Unit cell a=6.300 b=6.300 c=11.151 alpha=73.59 beta=73.59 gamma=90.00
Atoms (fractional coordinates):
La 0.283 0.283 0.434
La 0.127 0.371 0.746
La 0.127 0.883 0.746
La 0.117 0.873 0.254
La 0.629 0.873 0.254
La 0.717 0.717 0.566
Pt 0.250 0.750 0.500
Pt 0.000 0.000 0.000
Sr 0.544 0.044 0.912
Sr 0.956 0.456 0.088


Version B
SrLa3Pt | PBE | optimized geometry

Results
The density is 5.94 g/cm³. The total magnetization comes out at 0.00 μB/cell.

Unit cell a=9.893 b=9.893 c=9.893 alpha=41.94 beta=41.94 gamma=41.94
Atoms (fractional coordinates):
La 0.137 0.708 0.318
La 0.708 0.318 0.137
La 0.682 0.863 0.292
La 0.292 0.682 0.863
La 0.318 0.137 0.708
La 0.863 0.292 0.682
Pt 0.305 0.305 0.305
Pt 0.695 0.695 0.695
Sr 0.816 0.816 0.816
Sr 0.184 0.184 0.184


Decreasing stability: version B, version A


Version A
SrLa3Pt | PBE | optimized geometry

Results
The density is 6.39 g/cm³. The total magnetization comes out at 0.00 μB/cell.

Unit cell a=6.317 b=8.747 c=8.098 alpha=90.00 beta=125.64 gamma=90.00
Atoms (fractional coordinates):
La 0.569 0.029 0.755
La 0.137 0.250 0.856
La 0.569 0.471 0.755
La 0.863 0.750 0.144
La 0.431 0.971 0.245
La 0.431 0.529 0.245
Pt 0.591 0.250 0.487
Pt 0.409 0.750 0.513
Sr 0.038 0.750 0.705
Sr 0.962 0.250 0.295


Version B
SrLa3Pt | PBE | optimized geometry

Results
The density is 6.64 g/cm³. The total magnetization comes out at 0.00 μB/cell.

Unit cell a=8.430 b=8.430 c=6.529 alpha=90.00 beta=90.00 gamma=131.03
Atoms (fractional coordinates):
Sr 0.424 0.576 0.750
Sr 0.576 0.424 0.250
Pt 0.836 0.164 0.750
Pt 0.164 0.836 0.250
La 0.000 0.000 0.000
La 0.049 0.431 0.250
La 0.000 0.000 0.500
La 0.951 0.569 0.750
La 0.569 0.951 0.250
La 0.431 0.049 0.750


Version C
SrLa3Pt | PBE | optimized geometry

Results
The density is 5.79 g/cm³. The total magnetization comes out at 0.00 μB/cell.

Unit cell a=4.401 b=4.401 c=10.356 alpha=90.00 beta=90.00 gamma=90.00
Atoms (fractional coordinates):
La 0.500 0.000 0.416
La 0.000 0.000 0.710
La 0.000 0.500 0.416
Pt 0.500 0.500 0.632
Sr 0.000 0.000 0.090


Version D
SrLa3Pt | PBE | optimized geometry

Results
The density is 5.24 g/cm³. The total magnetization comes out at 0.00 μB/cell.

Unit cell a=6.282 b=6.282 c=6.282 alpha=103.94 beta=103.94 gamma=103.94
Atoms (fractional coordinates):
La 0.476 0.092 0.092
La 0.092 0.476 0.092
La 0.092 0.092 0.476
Pt 0.423 0.423 0.423
Sr 0.792 0.792 0.792


Decreasing stability: version A, version B, version C, version D


Version A
SrLa3Pt | PBE | optimized geometry

Results
The density is 5.79 g/cm³. The total magnetization comes out at 0.00 μB/cell.

Unit cell a=5.854 b=5.854 c=5.854 alpha=90.00 beta=90.00 gamma=90.00
Atoms (fractional coordinates):
Pt 0.000 0.000 0.000
Sr 0.500 0.500 0.500
La 0.500 0.000 0.000
La 0.000 0.500 0.000
La 0.000 0.000 0.500


Version B
SrLa3Pt | PBE | optimized geometry

Results
The density is 5.02 g/cm³. The total magnetization comes out at 0.00 μB/cell.

Unit cell a=10.939 b=10.939 c=10.939 alpha=60.00 beta=60.00 gamma=60.00
Atoms (fractional coordinates):
Pt 0.625 0.625 0.125
Pt 0.625 0.125 0.625
Pt 0.625 0.625 0.625
Pt 0.125 0.625 0.625
La 0.313 0.687 0.687
La 0.937 0.563 0.563
La 0.687 0.313 0.687
La 0.563 0.563 0.937
La 0.687 0.313 0.313
La 0.937 0.937 0.563
La 0.937 0.563 0.937
La 0.313 0.687 0.313
La 0.563 0.937 0.563
La 0.313 0.313 0.687
La 0.687 0.687 0.313
La 0.563 0.937 0.937
Sr 0.125 0.125 0.625
Sr 0.625 0.125 0.125
Sr 0.125 0.625 0.125
Sr 0.125 0.125 0.125


Decreasing stability: version A, version B